(1)
Crystalline ZrTl2Ir at its relaxed geometry. Source: the Alexandria database, functional GGA-PBE.

## Properties
symmetry: R3m
D(E_F): 3.6 states/eV/f.u.
formation energy from the elements: -0.022 eV/atom
magnetization: 0.00 μB/cell
energy above the lowest structure with this stoichiometry: 96 meV per atom

Geometry as extended XYZ:
```
4
Lattice="9.255 -0.064 -0.038 8.584 3.460 -0.038 8.584 1.634 3.050" Properties=species:S:1:pos:R:3 pbc="T T T"
Ir 20.067 3.820 2.258
Tl 0.304 0.058 0.034
Tl 6.514 1.240 0.733
Zr 12.750 2.427 1.435
```

(2)
Crystalline LiTaRe4 at its relaxed geometry. Source: the Alexandria database, functional GGA-PBE.

## Properties
symmetry: F-43m
D(E_F): 3.1 states/eV/f.u.
formation energy from the elements: 0.119 eV/atom
magnetization: 0.00 μB/cell

Geometry as extended XYZ:
```
6
Lattice="0.000 3.666 3.666 3.666 0.000 3.666 3.666 3.666 0.000" Properties=species:S:1:pos:R:3 pbc="T T T"
Li 0.000 0.000 0.000
Ta 5.498 5.498 5.498
Re 2.746 4.585 4.585
Re 4.585 4.585 2.746
Re 4.585 2.746 4.585
Re 2.746 2.746 2.746
```